PuTh4Pb3 after structural relaxation. Source: Alexandria via LeMat-Bulk, functional PBE.

Cell lengths 5.0220, 5.0220, 10.1156 Å; angles 104.35, 104.35, 90.00 degrees
Fractional positions:
Pb  0.0000  0.5000  0.0000
Pb  0.7483  0.2483  0.4964
Pb  0.2517  0.7517  0.5037
Th  0.3777  0.3776  0.7551
Th  0.6223  0.6224  0.2449
Th  0.1223  0.1224  0.2449
Th  0.8777  0.8776  0.7551
Pu  0.5000  0.0000  0.0000

Output
- Crystal system: tetragonal
- Space group: I4/mmm (139)
- Energy relative to the elements: -173 meV/atom
- Uncorrected energy: -7.06 eV/atom
- Total magnetization: 6.48 μB/f.u.

=====

La3ErTm2Se6 after structural relaxation. Source: Alexandria via LeMat-Bulk, functional PBE.

Cell lengths 7.1106, 7.1106, 7.4111 Å; angles 99.20, 99.20, 120.15 degrees
Fractional positions:
La  0.1661  0.8339  0.5000
La  0.8339  0.1661  0.5000
La  0.5000  0.5000  0.5000
Er  0.0000  0.0000  0.0000
Tm  0.3335  0.6665  0.0000
Tm  0.6665  0.3335  0.0000
Se  0.9250  0.5904  0.7744
Se  0.7405  0.7405  0.2254
Se  0.0750  0.4096  0.2256
Se  0.5904  0.9250  0.7744
Se  0.2595  0.2595  0.7746
Se  0.4096  0.0750  0.2256

Output
- Crystal system: monoclinic
- Uncorrected formation energy: -1850 meV/atom
- Space group: C2/m (12)
- Uncorrected energy: -5.95 eV/atom
- Total magnetization: 0.00 μB/f.u.

=====

CdCoSN2 after structural relaxation. Source: Alexandria via LeMat-Bulk, functional PBE.

Cell lengths 4.1224, 4.1224, 5.4757 Å; angles 90.00, 90.00, 90.00 degrees
Fractional positions:
S  0.0000  0.0000  0.5000
N  0.0000  0.5000  0.0000
N  0.5000  0.0000  0.0000
Co  0.5000  0.5000  0.5000
Cd  0.0000  0.0000  0.0000

Output
- Crystal system: tetragonal
- Uncorrected formation energy: 2103 meV/atom
- Space group: P4/mmm (123)
- Uncorrected energy: -3.66 eV/atom
- Total magnetization: 6.11 μB/f.u.

=====

HfZn2Cu2 after structural relaxation. Source: Alexandria via LeMat-Bulk, functional PBE.

Cell lengths 3.6451, 3.6451, 6.3384 Å; angles 73.29, 73.29, 90.00 degrees
Fractional positions:
Zn  0.7500  0.2500  0.5000
Zn  0.2500  0.7500  0.5000
Hf  0.0000  0.0000  0.0000
Cu  0.3990  0.3990  0.2020
Cu  0.6010  0.6010  0.7980

Output
- Crystal system: tetragonal
- Space group: I4/mmm (139)
- Energy relative to the elements: -73 meV/atom
- Uncorrected energy: -4.21 eV/atom
- Total magnetization: 0.00 μB/f.u.

=====

NbV2GaN after structural relaxation. Source: Alexandria via LeMat-Bulk, functional PBE.

Cell lengths 3.9101, 3.9101, 4.3584 Å; angles 90.00, 90.00, 90.00 degrees
Fractional positions:
Nb  0.0000  0.0000  0.5000
N  0.0000  0.0000  0.0000
Ga  0.5000  0.5000  0.5000
V  0.0000  0.5000  0.0000
V  0.5000  0.0000  0.0000

Output
- Crystal system: tetragonal
- Uncorrected formation energy: -562 meV/atom
- Space group: P4/mmm (123)
- Uncorrected energy: -8.49 eV/atom
- Total magnetization: 0.00 μB/f.u.

=====

PrTh2Os9 after structural relaxation. Source: Alexandria via LeMat-Bulk, functional PBE.

Cell lengths 5.3693, 5.3693, 9.3316 Å; angles 73.26, 73.26, 61.96 degrees
Fractional positions:
Pr  0.0000  0.0000  0.0000
Th  0.8626  0.8626  0.4187
Th  0.1374  0.1374  0.5813
Os  0.6368  0.6368  0.0054
Os  0.3632  0.3632  0.9946
Os  0.5000  0.5000  0.5000
Os  0.4043  0.4043  0.2604
Os  0.9187  0.4263  0.2337
Os  0.4263  0.9187  0.2337
Os  0.5957  0.5957  0.7396
Os  0.5737  0.0813  0.7663
Os  0.0813  0.5737  0.7663

Output
- Crystal system: monoclinic
- Space group: C2/m (12)
- Energy relative to the elements: -58 meV/atom
- Uncorrected energy: -10.12 eV/atom
- Total magnetization: 0.00 μB/f.u.